[1]
The following is a DFT calculation (GGA-PBEsol) of LaTeRh after structural relaxation.

symmetry: No. 156
uncorrected energy: -6.81 eV/atom
theoretical density: 8.66 g/cm3

Cell lengths 4.489, 4.489, 4.059 Å; angles 90.00, 90.00, 120.00 degrees
Fractional coordinates of all 3 atoms:
La 0.000 0.000 0.000
Te 0.333 0.667 0.511
Rh 0.667 0.333 0.450



[2]
The following is a DFT calculation (GGA-PBEsol) of La2TiRh after structural relaxation.

symmetry: No. 225
uncorrected energy: -6.73 eV/atom
ΔH_f (0 K): 0.06 eV per atom
theoretical density: 7.64 g/cm3

Cell lengths 5.088, 5.088, 5.088 Å; angles 60.00, 60.00, 60.00 degrees
Fractional coordinates of all 4 atoms:
La 0.250 0.250 0.250
La 0.750 0.750 0.750
Ti 0.000 0.000 0.000
Rh 0.500 0.500 0.500



[3]
The following is a DFT calculation (GGA-PBEsol) of LaTi2Rh2 after structural relaxation.

symmetry: No. 139
uncorrected energy: -8.26 eV/atom
ΔH_f (0 K): -0.60 eV per atom
theoretical density: 7.59 g/cm3

Cell lengths 6.091, 6.091, 6.091 Å; angles 138.97, 138.97, 59.41 degrees
Fractional coordinates of all 5 atoms:
La 0.000 0.000 0.000
Ti 0.250 0.750 0.500
Ti 0.750 0.250 0.500
Rh 0.374 0.374 0.000
Rh 0.626 0.626 0.000



[4]
The following is a DFT calculation (GGA-PBEsol) of LaTlRh2 after structural relaxation.

symmetry: No. 123
uncorrected energy: -6.31 eV/atom
ΔH_f (0 K): -0.25 eV per atom
theoretical density: 11.69 g/cm3

Cell lengths 3.479, 3.479, 6.444 Å; angles 90.00, 90.00, 90.00 degrees
Fractional coordinates of all 4 atoms:
La 0.000 0.000 0.000
Tl 0.000 0.000 0.500
Rh 0.500 0.500 0.269
Rh 0.500 0.500 0.731



[5]
The following is a DFT calculation (GGA-PBEsol) of LaTlRh after structural relaxation.

symmetry: No. 216
uncorrected energy: -5.81 eV/atom
ΔH_f (0 K): -0.44 eV per atom
theoretical density: 9.73 g/cm3

Cell lengths 4.758, 4.758, 4.758 Å; angles 60.00, 60.00, 60.00 degrees
Fractional coordinates of all 3 atoms:
La 0.000 0.000 0.000
Tl 0.500 0.500 0.500
Rh 0.750 0.750 0.750



[6]
The following is a DFT calculation (GGA-PBEsol) of La2TlRh after structural relaxation.

symmetry: No. 166
uncorrected energy: -5.87 eV/atom
offset from the most stable computed form: 0.017 eV/atom
ΔH_f (0 K): -0.51 eV per atom
theoretical density: 8.37 g/cm3

Cell lengths 8.567, 8.567, 8.567 Å; angles 27.22, 27.22, 27.22 degrees
Fractional coordinates of all 4 atoms:
La 0.233 0.233 0.233
La 0.767 0.767 0.767
Tl 0.000 0.000 0.000
Rh 0.500 0.500 0.500



[7]
The following is a DFT calculation (GGA-PBEsol) of LaTlRh2 after structural relaxation.

symmetry: No. 123
uncorrected energy: -6.49 eV/atom
ΔH_f (0 K): -0.43 eV per atom
theoretical density: 11.94 g/cm3

Cell lengths 4.543, 4.543, 3.698 Å; angles 90.00, 90.00, 90.00 degrees
Fractional coordinates of all 4 atoms:
La 0.000 0.000 0.000
Tl 0.500 0.500 0.000
Rh 0.000 0.500 0.500
Rh 0.500 0.000 0.500



[8]
The following is a DFT calculation (GGA-PBEsol) of LaTlRh2 after structural relaxation.

symmetry: No. 216
uncorrected energy: -6.02 eV/atom
ΔH_f (0 K): 0.04 eV per atom
theoretical density: 11.36 g/cm3

Cell lengths 4.842, 4.842, 4.842 Å; angles 60.00, 60.00, 60.00 degrees
Fractional coordinates of all 4 atoms:
La 0.000 0.000 0.000
Tl 0.750 0.750 0.750
Rh 0.250 0.250 0.250
Rh 0.500 0.500 0.500



[9]
The following is a DFT calculation (GGA-PBEsol) of LaTl2Rh after structural relaxation.

symmetry: No. 38
uncorrected energy: -5.03 eV/atom
ΔH_f (0 K): -0.35 eV per atom
theoretical density: 10.78 g/cm3

Cell lengths 3.778, 6.766, 6.766 Å; angles 35.41, 90.00, 90.00 degrees
Fractional coordinates of all 4 atoms:
La 0.000 0.000 0.000
Tl 0.000 0.289 0.289
Tl 0.500 0.673 0.673
Rh 0.500 0.458 0.458



[10]
The following is a DFT calculation (GGA-PBEsol) of LaTlRh4 after structural relaxation.

symmetry: No. 216
uncorrected energy: -7.04 eV/atom
ΔH_f (0 K): -0.29 eV per atom
theoretical density: 11.90 g/cm3

Cell lengths 5.301, 5.301, 5.301 Å; angles 60.00, 60.00, 60.00 degrees
Fractional coordinates of all 6 atoms:
La 0.000 0.000 0.000
Tl 0.250 0.250 0.250
Rh 0.127 0.624 0.624
Rh 0.624 0.127 0.624
Rh 0.624 0.624 0.127
Rh 0.624 0.624 0.624



[11]
The following is a DFT calculation (GGA-PBEsol) of La2TlRh after structural relaxation.

symmetry: No. 123
uncorrected energy: -5.89 eV/atom
offset from the most stable computed form: 0.000 eV/atom
ΔH_f (0 K): -0.52 eV per atom
theoretical density: 9.44 g/cm3

Cell lengths 3.521, 3.521, 8.306 Å; angles 90.00, 90.00, 90.00 degrees
Fractional coordinates of all 4 atoms:
La 0.000 0.000 0.208
La 0.000 0.000 0.792
Tl 0.500 0.500 0.500
Rh 0.500 0.500 0.000



[12]
The following is a DFT calculation (GGA-PBEsol) of La2TlRh after structural relaxation.

symmetry: No. 38
uncorrected energy: -5.85 eV/atom
offset from the most stable computed form: 0.033 eV/atom
ΔH_f (0 K): -0.49 eV per atom
theoretical density: 9.03 g/cm3

Cell lengths 4.019, 6.095, 6.095 Å; angles 46.10, 90.00, 90.00 degrees
Fractional coordinates of all 4 atoms:
La 0.000 0.000 0.000
La 0.500 0.302 0.302
Tl 0.500 0.596 0.596
Rh 0.000 0.775 0.775



[13]
The following is a DFT calculation (GGA-PBEsol) of La2TlRh after structural relaxation.

symmetry: No. 10
uncorrected energy: -5.87 eV/atom
offset from the most stable computed form: 0.020 eV/atom
ΔH_f (0 K): -0.50 eV per atom
theoretical density: 9.30 g/cm3

Cell lengths 3.908, 3.757, 7.182 Å; angles 90.00, 97.85, 90.00 degrees
Fractional coordinates of all 4 atoms:
La 0.081 0.000 0.285
La 0.919 0.000 0.715
Tl 0.500 0.500 0.000
Rh 0.500 0.500 0.500



[14]
The following is a DFT calculation (GGA-PBEsol) of LaTl2Rh after structural relaxation.

symmetry: No. 99
uncorrected energy: -4.90 eV/atom
ΔH_f (0 K): -0.22 eV per atom
theoretical density: 11.36 g/cm3

Cell lengths 3.481, 3.481, 7.850 Å; angles 90.00, 90.00, 90.00 degrees
Fractional coordinates of all 4 atoms:
La 0.000 0.000 0.000
Tl 0.000 0.000 0.413
Tl 0.500 0.500 0.681
Rh 0.500 0.500 0.210



[15]
The following is a DFT calculation (GGA-PBEsol) of LaTlRh2 after structural relaxation.

symmetry: No. 38
uncorrected energy: -6.48 eV/atom
ΔH_f (0 K): -0.41 eV per atom
theoretical density: 11.34 g/cm3

Cell lengths 4.073, 5.464, 5.464 Å; angles 41.40, 90.00, 90.00 degrees
Fractional coordinates of all 4 atoms:
La 0.000 0.000 0.000
Tl 0.500 0.710 0.710
Rh 0.000 0.266 0.266
Rh 0.500 0.432 0.432



[16]
The following is a DFT calculation (GGA-PBEsol) of LaRhW2 after structural relaxation.

symmetry: No. 12
uncorrected energy: -9.86 eV/atom
offset from the most stable computed form: 0.182 eV/atom
ΔH_f (0 K): 0.41 eV per atom
theoretical density: 14.00 g/cm3

Cell lengths 5.424, 5.424, 4.995 Å; angles 102.68, 102.68, 30.34 degrees
Fractional coordinates of all 4 atoms:
La 0.000 0.000 0.000
Rh 0.500 0.500 0.500
W 0.221 0.221 0.719
W 0.779 0.779 0.281



[17]
The following is a DFT calculation (GGA-PBEsol) of LaRhW2 after structural relaxation.

symmetry: No. 99
uncorrected energy: -10.05 eV/atom
offset from the most stable computed form: 0.000 eV/atom
ΔH_f (0 K): 0.23 eV per atom
theoretical density: 13.60 g/cm3

Cell lengths 3.173, 3.173, 7.393 Å; angles 90.00, 90.00, 90.00 degrees
Fractional coordinates of all 4 atoms:
La 0.000 0.000 0.000
Rh 0.500 0.500 0.301
W 0.000 0.000 0.508
W 0.500 0.500 0.698



[18]
The following is a DFT calculation (GGA-PBEsol) of LaRhW2 after structural relaxation.

symmetry: No. 139
uncorrected energy: -9.66 eV/atom
offset from the most stable computed form: 0.390 eV/atom
ΔH_f (0 K): 0.62 eV per atom
theoretical density: 13.50 g/cm3

Cell lengths 5.714, 5.714, 5.714 Å; angles 140.46, 140.46, 57.16 degrees
Fractional coordinates of all 4 atoms:
La 0.000 0.000 0.000
Rh 0.500 0.500 0.000
W 0.250 0.750 0.500
W 0.750 0.250 0.500



[19]
The following is a DFT calculation (GGA-PBEsol) of LaRhW2 after structural relaxation.

symmetry: No. 123
uncorrected energy: -9.42 eV/atom
offset from the most stable computed form: 0.623 eV/atom
ΔH_f (0 K): 0.85 eV per atom
theoretical density: 14.56 g/cm3

Cell lengths 4.755, 4.755, 3.073 Å; angles 90.00, 90.00, 90.00 degrees
Fractional coordinates of all 4 atoms:
La 0.000 0.000 0.000
Rh 0.500 0.500 0.000
W 0.000 0.500 0.500
W 0.500 0.000 0.500



[20]
The following is a DFT calculation (GGA-PBEsol) of LaRhW2 after structural relaxation.

symmetry: No. 123
uncorrected energy: -9.71 eV/atom
offset from the most stable computed form: 0.339 eV/atom
ΔH_f (0 K): 0.57 eV per atom
theoretical density: 12.94 g/cm3

Cell lengths 3.314, 3.314, 7.118 Å; angles 90.00, 90.00, 90.00 degrees
Fractional coordinates of all 4 atoms:
La 0.000 0.000 0.000
Rh 0.000 0.000 0.500
W 0.500 0.500 0.329
W 0.500 0.500 0.671